Entry from the Alexandria database: a relaxed AlGe crystal (PBE).

a = 8.000 Å, b = 3.027 Å, c = 8.043 Å
α = 90.00°, β = 118.77°, γ = 90.00°
Element x y z (fractional)
Ge  0.576  0.000  0.534
Ge  0.576  0.500  0.034
Ge  0.098  0.000  0.047
Ge  0.098  0.500  0.547
Al  0.266  0.500  0.353
Al  0.741  0.500  0.391
Al  0.266  0.000  0.853
Al  0.741  0.000  0.891

final energy = -4.09 eV/atom
space group = Cm
energy of formation from the pure elements = 0.085 eV/atom

Entry from the Alexandria database: a relaxed Ti6Mn5Ir crystal (PBE).

a = 4.257 Å, b = 7.355 Å, c = 7.355 Å
α = 119.82°, β = 106.82°, γ = 106.82°
Each line ends with the local moment (μB).
Element x y z (fractional)
Ti  0.254  0.424  0.084  -0.28
Ti  0.758  0.258  0.258  -0.26
Ti  0.242  0.742  0.742  -0.26
Ti  0.746  0.916  0.576  -0.28
Ti  0.254  0.084  0.424  -0.28
Ti  0.746  0.576  0.916  -0.28
Ir  0.000  0.000  0.000  0.04
Mn  0.000  0.667  0.333  0.95
Mn  0.500  0.168  0.832  0.87
Mn  0.500  0.832  0.168  0.87
Mn  0.500  0.500  0.500  0.76
Mn  0.000  0.333  0.667  0.95

final energy = -8.91 eV/atom
space group = Immm
energy of formation from the pure elements = -0.404 eV/atom

Entry from the Alexandria database: a relaxed FeSb2TeMo crystal (PBE).

a = 5.214 Å, b = 5.214 Å, c = 5.208 Å
α = 90.00°, β = 90.00°, γ = 90.00°
Element x y z (fractional)
Sb  0.500  0.000  0.000
Sb  0.000  0.500  0.000
Fe  0.500  0.500  0.500
Mo  0.000  0.000  0.000
Te  0.000  0.000  0.500

final energy = -4.83 eV/atom
uncorrected formation energy = 1.31 eV per atom
excess energy over the best structure of this formula in the dataset = 0.359 eV/atom
space group = P4/mmm

Entry from the Alexandria database: a relaxed HfPbAu crystal (PBE).

a = 5.948 Å, b = 5.296 Å, c = 6.230 Å
α = 74.45°, β = 61.49°, γ = 55.84°
Element x y z (fractional)
Hf  0.250  0.500  0.500
Hf  0.750  0.500  0.500
Au  0.640  0.000  0.719
Au  0.360  0.000  0.281
Pb  0.181  0.638  0.000
Pb  0.819  0.362  0.000

final energy = -5.73 eV/atom
space group = Fmmm
energy of formation from the pure elements = -0.084 eV/atom

Entry from the Alexandria database: a relaxed UTcPO crystal (PBE).

a = 4.001 Å, b = 4.001 Å, c = 7.705 Å
α = 90.00°, β = 90.00°, γ = 90.00°
Each line ends with the local moment (μB).
Element x y z (fractional)
O  0.000  0.000  0.000  -0.07
O  0.500  0.500  0.000  -0.07
P  0.500  0.000  0.663  -0.02
P  0.000  0.500  0.337  -0.02
U  0.000  0.500  0.844  2.13
U  0.500  0.000  0.156  2.13
Tc  0.500  0.500  0.500  -0.15
Tc  0.000  0.000  0.500  -0.15

final energy = -9.66 eV/atom
uncorrected formation energy = -1.66 eV per atom
space group = P4/nmm

Entry from the Alexandria database: a relaxed As3P crystal (PBE).

a = 2.804 Å, b = 2.804 Å, c = 9.642 Å
α = 90.00°, β = 90.00°, γ = 107.52°
Element x y z (fractional)
As  0.000  0.000  0.485
As  0.000  0.000  0.015
As  0.500  0.500  0.750
P  0.500  0.500  0.250

final energy = -4.30 eV/atom
excess energy over the best structure of this formula in the dataset = 0.481 eV/atom
space group = Cmmm
energy of formation from the pure elements = 0.539 eV/atom

Entry from the Alexandria database: a relaxed PmCoNi3 crystal (PBE).

a = 4.334 Å, b = 7.373 Å, c = 7.373 Å
α = 133.21°, β = 90.00°, γ = 90.00°
Each line ends with the local moment (μB).
Element x y z (fractional)
Ni  0.250  0.948  0.423  0.34
Ni  0.000  0.000  0.000  0.71
Ni  0.500  0.000  0.000  0.71
Ni  0.250  0.577  0.052  0.34
Ni  0.750  0.423  0.948  0.34
Ni  0.750  0.052  0.577  0.34
Co  0.250  0.160  0.840  1.66
Co  0.750  0.840  0.160  1.66
Pm  0.750  0.604  0.396  -0.05
Pm  0.250  0.396  0.604  -0.05

final energy = -5.57 eV/atom
space group = Cmcm
energy of formation from the pure elements = 0.270 eV/atom

Entry from the Alexandria database: a relaxed Ac5NiPt2 crystal (PBE).

a = 6.039 Å, b = 7.457 Å, c = 14.786 Å
α = 90.00°, β = 90.00°, γ = 113.88°
Element x y z (fractional)
Ac  0.661  0.322  0.570
Ac  0.943  0.886  0.880
Ac  0.742  0.484  0.250
Ac  0.057  0.114  0.380
Ac  0.339  0.678  0.430
Ac  0.661  0.322  0.930
Ac  0.057  0.114  0.120
Ac  0.339  0.678  0.070
Ac  0.943  0.886  0.620
Ac  0.258  0.516  0.750
Pt  0.156  0.312  0.560
Pt  0.156  0.312  0.940
Pt  0.844  0.688  0.060
Pt  0.844  0.688  0.440
Ni  0.782  0.564  0.750
Ni  0.218  0.436  0.250

final energy = -5.39 eV/atom
space group = Cmcm
energy of formation from the pure elements = -0.590 eV/atom

Entry from the Alexandria database: a relaxed LiCoP2 crystal (PBE).

a = 4.058 Å, b = 4.058 Å, c = 4.058 Å
α = 60.00°, β = 60.00°, γ = 60.00°
Element x y z (fractional)
P  0.750  0.750  0.750
P  0.000  0.000  0.000
Li  0.250  0.250  0.250
Co  0.500  0.500  0.500

final energy = -4.82 eV/atom
excess energy over the best structure of this formula in the dataset = 0.536 eV/atom
space group = F-43m
energy of formation from the pure elements = 0.141 eV/atom

Entry from the Alexandria database: a relaxed SrLa2Pb crystal (PBE).

a = 5.854 Å, b = 5.854 Å, c = 5.854 Å
α = 60.00°, β = 60.00°, γ = 60.00°
Each line ends with the local moment (μB).
Element x y z (fractional)
Pb  0.500  0.500  0.500  -0.04
La  0.000  0.000  0.000  0.75
La  0.250  0.250  0.250  0.52
Sr  0.750  0.750  0.750  0.15

final energy = -3.88 eV/atom
space group = F-43m
energy of formation from the pure elements = -0.064 eV/atom

Entry from the Alexandria database: a relaxed MgCdTe crystal (PBE).

a = 5.392 Å, b = 5.392 Å, c = 7.754 Å
α = 66.10°, β = 66.10°, γ = 89.19°
Element x y z (fractional)
Mg  0.913  0.211  0.575
Mg  0.211  0.913  0.075
Cd  0.653  0.657  0.893
Cd  0.657  0.653  0.393
Te  0.398  0.144  0.282
Te  0.144  0.398  0.782

final energy = -2.15 eV/atom
uncorrected formation energy = -0.27 eV per atom
excess energy over the best structure of this formula in the dataset = 0.033 eV/atom
space group = Cc

Entry from the Alexandria database: a relaxed SmBeZn2Ir2 crystal (PBE).

a = 4.277 Å, b = 4.277 Å, c = 5.497 Å
α = 90.00°, β = 90.00°, γ = 90.00°
Element x y z (fractional)
Be  0.000  0.000  0.000
Sm  0.000  0.000  0.500
Zn  0.500  0.500  0.274
Zn  0.500  0.500  0.726
Ir  0.000  0.500  0.000
Ir  0.500  0.000  0.000

final energy = -5.20 eV/atom
space group = P4/mmm
energy of formation from the pure elements = -0.409 eV/atom

- Which formula does entry 12 have?
  SmBeZn2Ir2

- Which formula does entry 2 have?
  Ti6Mn5Ir